Here is a relaxed structure of MnRh2Pb from Alexandria. Energies are from GGA-PBEsol.

abc: 3.2049 3.2049 6.1193
angles: 90.00 90.00 90.00
Last column: nearest neighbours and their distance in Å.
Space group P4/mmm (No. 123)
Unique sites:
Mn 0.0000 0.0000 0.0000 x1  8 Rh 2.67
Rh 0.5000 0.5000 0.2311 x2  4 Mn 2.67, 4 Pb 2.80, 1 Rh 2.83
Pb 0.0000 0.0000 0.5000 x1  8 Rh 2.80, 2 Mn 3.06

The value obtained for the calculated formation energy is 0.064 eV/atom. The value obtained for the spin magnetization is 4.62 μB/f.u.

Here is a relaxed structure of As2PRh from Alexandria. Energies are from GGA-PBEsol.

abc: 4.2935 4.2935 6.6718
angles: 90.00 90.00 90.00
Last column: nearest neighbours and their distance in Å.
Space group I-4m2 (No. 119)
Unique sites:
As 0.0000 0.0000 0.0000 x2  4 As 2.72, 4 Rh 2.72, 4 P 3.04
As 0.0000 0.5000 0.2500 x2  4 As 2.72, 4 P 2.72, 4 Rh 3.04
P 0.0000 0.0000 0.5000 x2  8 As 2.72-3.04, 4 Rh 2.72
Rh 0.0000 0.5000 0.7500 x2  8 As 2.72-3.04, 4 P 2.72

The value obtained for the calculated formation energy is 0.234 eV/atom. The value obtained for the spin magnetization is 0.00 μB/f.u.